Entry 1:
Crystalline PrSm3Ho6Th2 at its relaxed geometry, computed with PBE.

```
PrSm3Ho6Th2
1.0
-3.3575 -2.5635 4.5601
0.9906 -3.1418 -5.2713
10.3980 -2.6412 4.7540
Pr Sm Ho Th
1 3 6 2
Direct
0.0000 0.0000 0.0000 Pr
0.1663 0.8337 0.5000 Sm
0.8337 0.1663 0.5000 Sm
0.5000 0.5000 0.5000 Sm
0.9173 0.5789 0.7530 Ho
0.7443 0.7443 0.2472 Ho
0.0827 0.4211 0.2470 Ho
0.5789 0.9173 0.7530 Ho
0.2557 0.2557 0.7528 Ho
0.4211 0.0827 0.2470 Ho
0.3334 0.6666 0.0000 Th
0.6666 0.3334 0.0000 Th
```

=====

Entry 2:
Crystalline Pr2Sm4HoTh at its relaxed geometry, computed with PBE.

```
Pr2Sm4HoTh
1.0
6.0642 0.0000 0.0000
0.0001 5.8300 1.6644
0.0001 3.8029 8.7306
Pr Sm Ho Th
2 4 1 1
Direct
0.0000 0.0000 0.0000 Pr
0.5000 0.0000 0.5000 Pr
0.0000 0.7467 0.7527 Sm
0.0000 0.2533 0.2473 Sm
0.5000 0.7524 0.2470 Sm
0.5000 0.2476 0.7530 Sm
0.0000 0.5000 0.5000 Ho
0.5000 0.5000 0.0000 Th
```

=====

Entry 3:
Crystalline PrSm5HoTh2 at its relaxed geometry, computed with PBE.

```
PrSm5HoTh2
1.0
-8.5256 -2.6497 -0.7351
2.2223 -8.0497 3.2421
1.7471 7.8676 5.9610
Pr Sm Ho Th
2 10 2 4
Direct
0.2500 0.2500 0.5000 Pr
0.7500 0.7500 0.5000 Pr
0.9289 0.4289 0.2745 Sm
0.6544 0.1544 0.7255 Sm
0.0711 0.5711 0.7255 Sm
0.1544 0.0711 0.7255 Sm
0.5711 0.6544 0.7255 Sm
0.8456 0.9289 0.2745 Sm
0.4289 0.3456 0.2745 Sm
0.3456 0.8456 0.2745 Sm
0.5000 0.5000 0.0000 Sm
0.0000 0.0000 0.0000 Sm
0.2500 0.7500 0.5000 Ho
0.7500 0.2500 0.5000 Ho
0.1189 0.3811 0.0000 Th
0.6189 0.1189 0.0000 Th
0.3811 0.8811 0.0000 Th
0.8811 0.6189 0.0000 Th
```

=====

Entry 4:
Crystalline PrSmHo2Th at its relaxed geometry, computed with PBE.

```
PrSmHo2Th
1.0
6.5083 0.0000 0.0000
0.0000 8.6458 0.6605
0.0000 -1.8022 6.1114
Pr Sm Ho Th
2 2 4 2
Direct
0.0000 0.0000 0.0000 Pr
0.0000 0.0000 0.5000 Pr
0.1662 0.5000 0.7500 Sm
0.8338 0.5000 0.2500 Sm
0.6713 0.6851 0.8157 Ho
0.6713 0.3149 0.6843 Ho
0.3287 0.6851 0.3157 Ho
0.3287 0.3149 0.1843 Ho
0.5465 0.0000 0.2500 Th
0.4535 0.0000 0.7500 Th
```

=====

Here are the calculated electronic total energy numbers, same order: -5.08 -4.92 -4.98 -4.89 (eV per atom).
Here are the calculated M_tot numbers, same order: 0.0000 0.0000 0.0000 0.0000 (μB/atom).